# 1
This record from the Alexandria database describes crystalline SrCu2B at its relaxed geometry. The functional is PBE.

Calculated values
As for the symmetry: I4_1/amd, No. 141. The crystal system is tetragonal.

Cell lengths 4.8215, 4.8215, 7.4166 Å; angles 71.03, 71.03, 90.00 degrees
Last column: nearest neighbours and their distance in Å.
Atoms (fractional coordinates):
1 Cu 0.3750 0.6250 0.7500  2 B 2.04
2 Cu 0.3750 0.6250 0.2500  2 B 2.04
3 Cu 0.8750 0.6250 0.7500  2 B 2.04
4 Cu 0.3750 0.1250 0.2500  2 B 2.04
5 Sr 0.7500 0.2500 0.5000  8 Cu 3.16, 4 B 3.41
6 Sr 0.0000 0.0000 0.0000  8 Cu 3.16, 4 B 3.41
7 B 0.2500 0.7500 0.5000  4 Cu 2.04
8 B 0.5000 0.5000 0.0000  4 Cu 2.04



# 2
This record from the Alexandria database describes crystalline Ac2PmGe4Pt3 at its relaxed geometry. The functional is PBE.

Calculated values
As for the symmetry: P-4m2, No. 115. The crystal system is tetragonal.

Cell lengths 4.4602, 4.4602, 11.4165 Å; angles 90.00, 90.00, 90.00 degrees
Last column: nearest neighbours and their distance in Å.
Atoms (fractional coordinates):
1 Ge 0.0000 0.0000 0.0000  4 Pt 2.57
2 Ge 0.5000 0.5000 0.0000  4 Pt 2.57
3 Ge 0.5000 0.0000 0.6644  1 Pt 2.54
4 Ge 0.0000 0.5000 0.3356  1 Pt 2.54
5 Ac 0.0000 0.5000 0.7710  8 Ge 3.38-3.44, 4 Pt 3.42
6 Ac 0.5000 0.0000 0.2290  8 Ge 3.38-3.44, 4 Pt 3.42
7 Pt 0.5000 0.0000 0.8873  5 Ge 2.54-2.57
8 Pt 0.0000 0.0000 0.5000  4 Ge 2.91, 4 Pm 3.15
9 Pt 0.0000 0.5000 0.1127  5 Ge 2.54-2.57
10 Pm 0.5000 0.5000 0.5000  4 Ge 2.91, 4 Pt 3.15



# 3
This record from the Alexandria database describes crystalline LiAg3Pd3 at its relaxed geometry. The functional is PBE.

Calculated values
The relative energy among the computed polymorphs is 0.000 eV per atom. As for the symmetry: P6_3/m, No. 176. The crystal system is hexagonal.

Cell lengths 4.6529, 7.4973, 7.4973 Å; angles 120.00, 90.00, 90.00 degrees
Last column: nearest neighbours and their distance in Å.
Atoms (fractional coordinates):
1 Ag 0.7500 0.1943 0.2469  5 Pd 2.77-2.88, 1 Li 2.78, 6 Ag 2.87-2.93
2 Ag 0.7500 0.0526 0.8057  5 Pd 2.77-2.88, 1 Li 2.78, 6 Ag 2.87-2.93
3 Ag 0.2500 0.8057 0.7531  5 Pd 2.77-2.88, 1 Li 2.78, 6 Ag 2.87-2.93
4 Ag 0.7500 0.7531 0.9474  5 Pd 2.77-2.88, 1 Li 2.78, 6 Ag 2.87-2.93
5 Ag 0.2500 0.9474 0.1943  5 Pd 2.77-2.88, 1 Li 2.78, 6 Ag 2.87-2.93
6 Ag 0.2500 0.2469 0.0526  5 Pd 2.77-2.88, 1 Li 2.78, 6 Ag 2.87-2.93
7 Pd 0.7500 0.6156 0.5188  5 Ag 2.77-2.88, 4 Pd 2.80-2.83, 3 Li 2.83-2.84
8 Pd 0.7500 0.9032 0.3844  5 Ag 2.77-2.88, 4 Pd 2.80-2.83, 3 Li 2.83-2.84
9 Pd 0.2500 0.3844 0.4812  5 Ag 2.77-2.88, 4 Pd 2.80-2.83, 3 Li 2.83-2.84
10 Pd 0.7500 0.4812 0.0968  5 Ag 2.77-2.88, 4 Pd 2.80-2.83, 3 Li 2.83-2.84
11 Pd 0.2500 0.5188 0.9032  5 Ag 2.77-2.88, 4 Pd 2.80-2.83, 3 Li 2.83-2.84
12 Pd 0.2500 0.0968 0.6156  5 Ag 2.77-2.88, 4 Pd 2.80-2.83, 3 Li 2.83-2.84
13 Li 0.2500 0.6667 0.3333  3 Ag 2.78, 9 Pd 2.83-2.84
14 Li 0.7500 0.3333 0.6667  3 Ag 2.78, 9 Pd 2.83-2.84



So what do the calculations give for magnetization? Going down the list: 0.00; 0.00; 0.00 μB/cell.
So what do the calculations give for calculated formation energy? Going down the list: 15; -87; -13 kJ per mole of atoms.